(1)
Material: LiIn
Method: DFT, PBE
State: relaxed

Calculated values
E_form: -0.204 eV per atom
symmetry: P-6m2, No. 187
DOS at the Fermi energy: 0.253 states/eV per atom

Lattice parameters (Å, degrees): 3.232 3.232 4.686 90.00 90.00 120.00
Fractional positions:
Li (0.000, 0.000, 0.000)
In (0.333, 0.667, 0.500)

---

(2)
Material: SnSe3N
Method: DFT, PBE
State: relaxed

Calculated values
uncorrected formation energy: 1.413 eV/atom
symmetry: Pm-3m, No. 221
DOS at the Fermi energy: 1.230 states/eV per atom

Lattice parameters (Å, degrees): 5.348 5.348 5.348 90.00 90.00 90.00
Fractional positions:
Sn (0.000, 0.000, 0.000)
Se (0.000, 0.000, 0.500)
Se (0.000, 0.500, 0.000)
Se (0.500, 0.000, 0.000)
N (0.500, 0.500, 0.500)

---

(3)
Material: Ba2LaInS5
Method: DFT, PBE
State: relaxed

Calculated values
uncorrected formation energy: -1.728 eV/atom
symmetry: Cmc2_1, No. 36
DOS at the Fermi energy: 0.000 states/eV per atom

Lattice parameters (Å, degrees): 9.554 9.554 13.037 90.00 90.00 154.27
Fractional positions:
Ba (0.113, 0.887, 0.500)
Ba (0.129, 0.871, 0.134)
Ba (0.871, 0.129, 0.634)
Ba (0.887, 0.113, 0.000)
La (0.211, 0.789, 0.837)
La (0.789, 0.211, 0.337)
In (0.450, 0.550, 0.258)
In (0.550, 0.450, 0.758)
S (0.047, 0.953, 0.865)
S (0.290, 0.710, 0.482)
S (0.320, 0.680, 0.188)
S (0.360, 0.640, 0.820)
S (0.495, 0.505, 0.589)
S (0.505, 0.495, 0.089)
S (0.640, 0.360, 0.320)
S (0.680, 0.320, 0.688)
S (0.710, 0.290, 0.982)
S (0.953, 0.047, 0.365)

---

Look up the DOS at the Fermi energy of the first one. 0.253 states/eV per atom

---

DOS at the Fermi energy of number 2 (SnSe3N)? 1.230 states/eV per atom

---

Among the records above, which one has the highest DOS at the Fermi energy? SnSe3N

---

Which formula does entry 3 have? Ba2LaInS5